This record from the Alexandria database describes crystalline Eu3GaP3 at its relaxed geometry. The functional is PBE.

Output
Total energy   -8.172 eV/atom
DFT formation energy   -1.018 eV per atom
Magnetic moment   6.96 μB/f.u.
N(E_F)   4.7105 states/eV per atom

CIF file:
```
data_Eu3GaP3
_symmetry_space_group_name_H-M 'C m c e'
_symmetry_Int_Tables_number 64
_symmetry_space_group_name_Hall '-C 2ac 2'
_cell_length_a 18.3750
_cell_length_b 6.2380
_cell_length_c 12.1432
_cell_angle_alpha 90.00
_cell_angle_beta 90.00
_cell_angle_gamma 90.00
loop_
_atom_site_label
_atom_site_fract_x
_atom_site_fract_y
_atom_site_fract_z
Eu1 0.0000 0.1834 0.1469
Eu2 0.1763 0.1946 0.8682
Ga1 0.0870 0.0000 0.5000
P1 0.0000 0.2143 0.3924
P2 0.1618 0.2155 0.6223
```